# Tl4SnBi

A relaxed Tl4SnBi crystal (PBE, the Alexandria database).

a = 9.1299 Å, b = 9.1299 Å, c = 9.1299 Å
α = 90.00°, β = 90.00°, γ = 90.00°
Closest atoms and distances in Å follow each position.
Space group F-43m (No. 216)
Inequivalent atoms, fractional coordinates:
Tl 0.1249 0.1249 0.1249 [16 per cell]  6 Tl 3.23
Sn 0.2500 0.2500 0.7500 [4 per cell]  12 Tl 3.78, 4 Bi 3.95
Bi 0.0000 0.0000 0.5000 [4 per cell]  12 Tl 3.79, 4 Sn 3.95

Properties
D(E_F): 0.54 states/eV per atom
energy relative to the elements: 1.004 eV per formula unit
energy above the most stable polymorph in this dataset: 0.142 eV/atom


# Tl2SnBi

A relaxed Tl2SnBi crystal (PBE, the Alexandria database).

a = 3.5750 Å, b = 5.7846 Å, c = 11.7973 Å
α = 90.00°, β = 90.00°, γ = 90.00°
Closest atoms and distances in Å follow each position.
Space group Cmmm (No. 65)
Inequivalent atoms, fractional coordinates:
Tl 0.0000 0.0000 0.2456 [4 per cell]  6 Tl 3.40-3.58, 2 Sn 3.40, 2 Bi 3.49
Sn 0.0000 0.5000 0.0000 [2 per cell]  6 Sn 3.40-3.58, 4 Tl 3.40
Bi 0.0000 0.5000 0.5000 [2 per cell]  6 Bi 3.40-3.58, 4 Tl 3.49

Properties
D(E_F): 0.51 states/eV per atom
energy relative to the elements: 0.234 eV per formula unit
energy above the most stable polymorph in this dataset: 0.034 eV/atom


# Tl6SnBi2

A relaxed Tl6SnBi2 crystal (PBE, the Alexandria database).

a = 3.4701 Å, b = 3.4701 Å, c = 27.4804 Å
α = 90.00°, β = 90.00°, γ = 120.00°
Closest atoms and distances in Å follow each position.
Space group P-6m2 (No. 187)
Inequivalent atoms, fractional coordinates:
Tl 0.0000 0.0000 0.0645 [2 per cell]  7 Tl 3.47-3.55, 3 Bi 3.57
Tl 0.0000 0.0000 0.2811 [2 per cell]  9 Tl 3.47-3.78, 3 Bi 3.60
Tl 0.3333 0.6667 0.3978 [2 per cell]  3 Sn 3.45, 9 Tl 3.47-3.78
Sn 0.0000 0.0000 0.5000 [1 per cell]  6 Tl 3.45, 6 Sn 3.47
Bi 0.3333 0.6667 0.1722 [2 per cell]  6 Bi 3.47, 6 Tl 3.57-3.60

Properties
D(E_F): 0.45 states/eV per atom
energy relative to the elements: 0.141 eV per formula unit
energy above the most stable polymorph in this dataset: 0.029 eV/atom


# TlSnBi2

A relaxed TlSnBi2 crystal (PBE, the Alexandria database).

a = 3.3757 Å, b = 36.0002 Å, c = 4.2956 Å
α = 90.00°, β = 90.00°, γ = 90.00°
Closest atoms and distances in Å follow each position.
Space group Cmcm (No. 63)
Inequivalent atoms, fractional coordinates:
Tl 0.0000 0.0988 0.2500 [4 per cell]  2 Tl 3.38, 8 Bi 3.52-3.67
Sn 0.0000 0.2761 0.7500 [4 per cell]  2 Bi 3.13, 6 Sn 3.32-3.38
Bi 0.0000 0.3395 0.2500 [4 per cell]  2 Sn 3.13, 2 Bi 3.38
Bi 0.0000 0.4692 0.2500 [4 per cell]  4 Bi 3.09-3.38

Properties
D(E_F): 0.34 states/eV per atom
energy relative to the elements: 0.090 eV per formula unit
energy above the most stable polymorph in this dataset: 0.000 eV/atom


# Tl6Sn3Bi

A relaxed Tl6Sn3Bi crystal (PBE, the Alexandria database).

a = 10.6077 Å, b = 11.7834 Å, c = 5.1225 Å
α = 90.00°, β = 90.00°, γ = 90.00°
Closest atoms and distances in Å follow each position.
Space group Pnnm (No. 58)
Inequivalent atoms, fractional coordinates:
Tl 0.0973 0.2337 0.0000 [4 per cell]  3 Sn 3.23-3.31, 1 Tl 3.58
Tl 0.1874 0.5788 0.0000 [4 per cell]  4 Sn 3.35-3.37, 1 Bi 3.44, 3 Tl 3.49-3.74
Tl 0.2041 0.9023 0.0000 [4 per cell]  3 Sn 3.34-3.36, 3 Tl 3.49-3.58, 2 Bi 3.55
Sn 0.0000 0.5000 0.5000 [2 per cell]  2 Sn 3.06, 6 Tl 3.34-3.37
Sn 0.0987 0.7441 0.5000 [4 per cell]  1 Sn 3.06, 1 Bi 3.19, 7 Tl 3.23-3.36
Bi 0.0000 0.0000 0.5000 [2 per cell]  2 Sn 3.19, 6 Tl 3.44-3.55

Properties
D(E_F): 0.39 states/eV per atom
energy relative to the elements: 0.437 eV per formula unit


# Tl2SnBi

A relaxed Tl2SnBi crystal (PBE, the Alexandria database).

a = 6.9853 Å, b = 6.9853 Å, c = 13.2981 Å
α = 90.00°, β = 90.00°, γ = 90.00°
Closest atoms and distances in Å follow each position.
Space group I-42d (No. 122)
Inequivalent atoms, fractional coordinates:
Tl 0.2387 0.2500 0.1250 [8 per cell]  2 Sn 2.93, 2 Bi 3.02
Sn 0.0000 0.0000 0.0000 [4 per cell]  4 Tl 2.93
Bi 0.0000 0.0000 0.5000 [4 per cell]  4 Tl 3.02

Properties
D(E_F): 0.67 states/eV per atom
energy relative to the elements: 0.993 eV per formula unit
energy above the most stable polymorph in this dataset: 0.224 eV/atom


# Tl8SnBi2

A relaxed Tl8SnBi2 crystal (PBE, the Alexandria database).

a = 12.8517 Å, b = 10.6160 Å, c = 5.8807 Å
α = 90.00°, β = 101.92°, γ = 90.00°
Closest atoms and distances in Å follow each position.
Space group C2/m (No. 12)
Inequivalent atoms, fractional coordinates:
Tl 0.0797 0.2381 0.2899 [8 per cell]  4 Tl 3.26-3.60, 1 Bi 3.28, 1 Sn 3.29
Tl 0.0939 0.0000 0.8143 [4 per cell]  5 Tl 3.34-3.60, 1 Bi 3.48
Tl 0.2423 0.0000 0.4049 [4 per cell]  1 Sn 3.24, 4 Tl 3.26-3.60, 2 Bi 3.35-3.36
Sn 0.0000 0.5000 0.5000 [2 per cell]  6 Tl 3.24-3.29, 4 Bi 3.24-3.48
Bi 0.1294 0.5000 0.0356 [4 per cell]  2 Sn 3.24-3.48, 1 Bi 3.26, 5 Tl 3.28-3.48

Properties
D(E_F): 0.37 states/eV per atom
energy relative to the elements: 1.048 eV per formula unit
energy above the most stable polymorph in this dataset: 0.083 eV/atom


# Tl5Sn2Bi5

A relaxed Tl5Sn2Bi5 crystal (PBE, the Alexandria database).

a = 9.9038 Å, b = 5.7786 Å, c = 13.8692 Å
α = 90.00°, β = 101.47°, γ = 90.00°
Closest atoms and distances in Å follow each position.
Space group C2/m (No. 12)
Inequivalent atoms, fractional coordinates:
Tl 0.0000 0.0000 0.0000 [2 per cell]  6 Bi 3.32-3.44
Tl 0.1766 0.0000 0.5404 [4 per cell]  4 Bi 3.36-3.59, 4 Tl 3.45-3.53
Tl 0.2421 0.0000 0.8000 [4 per cell]  4 Bi 3.25-3.50, 3 Sn 3.45-3.46, 1 Tl 3.53
Sn 0.0565 0.5000 0.7292 [4 per cell]  5 Bi 3.12-3.32, 3 Tl 3.45-3.46
Bi 0.0000 0.5000 0.5000 [2 per cell]  2 Sn 3.12, 6 Tl 3.36-3.37
Bi 0.1097 0.0000 0.2763 [4 per cell]  3 Sn 3.32, 4 Tl 3.43-3.59
Bi 0.1460 0.5000 0.9630 [4 per cell]  1 Sn 3.19, 4 Tl 3.25-3.44, 1 Bi 3.26

Properties
D(E_F): 0.47 states/eV per atom
energy relative to the elements: 0.660 eV per formula unit


# Tl6SnBi2

A relaxed Tl6SnBi2 crystal (PBE, the Alexandria database).

a = 15.5694 Å, b = 4.7485 Å, c = 8.0545 Å
α = 90.00°, β = 107.49°, γ = 90.00°
Closest atoms and distances in Å follow each position.
Space group C2/m (No. 12)
Inequivalent atoms, fractional coordinates:
Tl 0.1118 0.0000 0.1624 [4 per cell]  4 Bi 3.46-3.55, 7 Tl 3.50-3.76, 1 Sn 3.64
Tl 0.1609 0.5000 0.4996 [4 per cell]  2 Sn 3.45, 8 Tl 3.47-3.76, 2 Bi 3.47-3.55
Tl 0.2131 0.0000 0.8287 [4 per cell]  8 Tl 3.47-3.74, 2 Bi 3.50, 1 Sn 3.57
Sn 0.0000 0.0000 0.5000 [2 per cell]  4 Bi 3.42, 8 Tl 3.45-3.64
Bi 0.0466 0.5000 0.8199 [4 per cell]  2 Sn 3.42, 8 Tl 3.46-3.55, 1 Bi 3.61

Properties
D(E_F): 0.45 states/eV per atom
energy relative to the elements: -0.118 eV per formula unit
energy above the most stable polymorph in this dataset: 0.000 eV/atom


# Tl2SnBi

A relaxed Tl2SnBi crystal (PBE, the Alexandria database).

a = 3.5076 Å, b = 3.5076 Å, c = 9.8739 Å
α = 90.00°, β = 90.00°, γ = 90.00°
Closest atoms and distances in Å follow each position.
Space group P4/mmm (No. 123)
Inequivalent atoms, fractional coordinates:
Tl 0.0000 0.0000 0.2421 [2 per cell]  4 Sn 3.44, 4 Tl 3.51, 4 Bi 3.55
Sn 0.5000 0.5000 0.0000 [1 per cell]  8 Tl 3.44, 4 Sn 3.51
Bi 0.5000 0.5000 0.5000 [1 per cell]  4 Bi 3.51, 8 Tl 3.55

Properties
D(E_F): 0.44 states/eV per atom
energy relative to the elements: 0.141 eV per formula unit
energy above the most stable polymorph in this dataset: 0.011 eV/atom


# Tl6Sn2Bi

A relaxed Tl6Sn2Bi crystal (PBE, the Alexandria database).

a = 3.4596 Å, b = 3.4596 Å, c = 27.2320 Å
α = 90.00°, β = 90.00°, γ = 120.00°
Closest atoms and distances in Å follow each position.
Space group P-6m2 (No. 187)
Inequivalent atoms, fractional coordinates:
Tl 0.0000 0.0000 0.0645 [2 per cell]  3 Sn 3.44, 7 Tl 3.46-3.51
Tl 0.0000 0.0000 0.2701 [2 per cell]  3 Sn 3.43, 9 Tl 3.46-3.83
Tl 0.3333 0.6667 0.3899 [2 per cell]  9 Tl 3.46-3.83, 3 Bi 3.60
Sn 0.3333 0.6667 0.1675 [2 per cell]  6 Tl 3.43-3.44, 6 Sn 3.46
Bi 0.0000 0.0000 0.5000 [1 per cell]  6 Bi 3.46, 6 Tl 3.60

Properties
D(E_F): 0.62 states/eV per atom
energy relative to the elements: 0.299 eV per formula unit
energy above the most stable polymorph in this dataset: 0.000 eV/atom


# Tl2Sn2Bi3

A relaxed Tl2Sn2Bi3 crystal (PBE, the Alexandria database).

a = 5.6489 Å, b = 22.8583 Å, c = 3.3893 Å
α = 90.00°, β = 90.00°, γ = 90.00°
Closest atoms and distances in Å follow each position.
Space group Cmmm (No. 65)
Inequivalent atoms, fractional coordinates:
Tl 0.0000 0.1389 0.0000 [4 per cell]  2 Tl 3.39, 8 Bi 3.60-3.77, 4 Sn 3.63
Sn 0.0000 0.4276 0.5000 [4 per cell]  3 Bi 3.23-3.27, 3 Sn 3.31-3.39
Bi 0.0000 0.0000 0.5000 [2 per cell]  4 Sn 3.27, 2 Bi 3.39, 4 Tl 3.60
Bi 0.0000 0.2863 0.5000 [4 per cell]  1 Sn 3.23, 4 Bi 3.27-3.39

Properties
D(E_F): 0.42 states/eV per atom
energy relative to the elements: 0.058 eV per formula unit


# TlSnBi3

A relaxed TlSnBi3 crystal (PBE, the Alexandria database).

a = 5.8733 Å, b = 5.8733 Å, c = 5.8733 Å
α = 90.00°, β = 90.00°, γ = 90.00°
Closest atoms and distances in Å follow each position.
Space group Pm-3m (No. 221)
Inequivalent atoms, fractional coordinates:
Tl 0.0000 0.0000 0.0000 [1 per cell]  12 Bi 4.15
Sn 0.5000 0.5000 0.5000 [1 per cell]  6 Bi 2.94
Bi 0.0000 0.5000 0.5000 [3 per cell]  2 Sn 2.94

Properties
D(E_F): 0.84 states/eV per atom
energy relative to the elements: 2.562 eV per formula unit
energy above the most stable polymorph in this dataset: 0.359 eV/atom


# Tl3SnBi2

A relaxed Tl3SnBi2 crystal (PBE, the Alexandria database).

a = 18.1841 Å, b = 4.9299 Å, c = 10.8071 Å
α = 90.00°, β = 117.74°, γ = 90.00°
Closest atoms and distances in Å follow each position.
Space group C2/m (No. 12)
Inequivalent atoms, fractional coordinates:
Tl 0.0249 0.0000 0.1776 [4 per cell]  3 Bi 3.28-3.42, 5 Tl 3.51-3.65
Tl 0.1213 0.5000 0.0586 [4 per cell]  3 Bi 3.42-3.52, 5 Tl 3.52-3.65, 1 Sn 3.75
Tl 0.2117 0.0000 0.6003 [4 per cell]  4 Bi 3.28-3.46, 1 Tl 3.52
Sn 0.0897 0.5000 0.6899 [4 per cell]  4 Bi 3.10-3.18
Bi 0.0991 0.5000 0.4030 [4 per cell]  2 Sn 3.10-3.18, 5 Tl 3.28-3.46
Bi 0.1774 0.0000 0.8852 [4 per cell]  2 Sn 3.15, 5 Tl 3.41-3.52

Properties
D(E_F): 0.24 states/eV per atom
energy relative to the elements: 0.080 eV per formula unit


# TlSnBi3

A relaxed TlSnBi3 crystal (PBE, the Alexandria database).

a = 8.2693 Å, b = 8.2693 Å, c = 17.5161 Å
α = 90.00°, β = 90.00°, γ = 120.00°
Closest atoms and distances in Å follow each position.
Space group R-3 (No. 148, hexagonal axes)
Inequivalent atoms, fractional coordinates:
Tl 0.0000 0.0000 0.0909 [6 per cell]  1 Tl 3.18, 6 Bi 3.31-3.43
Sn 0.0000 0.0000 0.4043 [6 per cell]  6 Bi 3.24-3.25, 1 Sn 3.35
Bi 0.0057 0.2315 0.2541 [18 per cell]  2 Sn 3.24-3.25, 3 Bi 3.28-3.62, 2 Tl 3.31-3.43

Properties
D(E_F): 0.41 states/eV per atom
energy relative to the elements: 0.765 eV per formula unit
energy above the most stable polymorph in this dataset: 0.000 eV/atom


# TlSnBi2W

A relaxed TlSnBi2W crystal (PBE, the Alexandria database).

a = 5.4774 Å, b = 5.4774 Å, c = 5.3355 Å
α = 90.00°, β = 90.00°, γ = 90.00°
Closest atoms and distances in Å follow each position.
Space group P4/mmm (No. 123)
Inequivalent atoms, fractional coordinates:
Tl 0.0000 0.0000 0.0000 [1 per cell]  8 Bi 3.82, 4 Sn 3.87
Sn 0.5000 0.5000 0.0000 [1 per cell]  2 W 2.67
Bi 0.0000 0.5000 0.5000 [2 per cell]  2 W 2.74
W 0.5000 0.5000 0.5000 [1 per cell]  2 Sn 2.67, 4 Bi 2.74

Properties
D(E_F): 0.70 states/eV per atom
energy relative to the elements: 2.788 eV per formula unit


# TlZnSnBi

A relaxed TlZnSnBi crystal (PBE, the Alexandria database).

a = 7.6370 Å, b = 7.6370 Å, c = 7.6370 Å
α = 90.00°, β = 90.00°, γ = 90.00°
Closest atoms and distances in Å follow each position.
Space group F-43m (No. 216)
Inequivalent atoms, fractional coordinates:
Tl 0.0000 0.0000 0.0000 [4 per cell]  4 Sn 3.31, 4 Zn 3.31
Zn 0.2500 0.2500 0.2500 [4 per cell]  4 Tl 3.31, 4 Bi 3.31
Sn 0.2500 0.2500 0.7500 [4 per cell]  4 Bi 3.31, 4 Tl 3.31
Bi 0.0000 0.0000 0.5000 [4 per cell]  4 Zn 3.31, 4 Sn 3.31

Properties
D(E_F): 1.00 states/eV per atom
energy relative to the elements: 0.652 eV per formula unit


# Tm4SnBi2

A relaxed Tm4SnBi2 crystal (PBE, the Alexandria database).

a = 9.4338 Å, b = 13.6185 Å, c = 13.6475 Å
α = 90.00°, β = 90.00°, γ = 90.00°
Closest atoms and distances in Å follow each position.
Space group Fddd (No. 70, origin choice 2)
Inequivalent atoms, fractional coordinates:
Tm 0.0668 0.2796 0.4699 [32 per cell]  1 Sn 3.04, 3 Bi 3.04-3.09
Sn 0.1250 0.1250 0.6250 [8 per cell]  4 Tm 3.04
Bi 0.0000 0.0000 0.0000 [16 per cell]  6 Tm 3.04-3.09

Properties
D(E_F): 0.76 states/eV per atom
energy relative to the elements: -3.350 eV per formula unit


# Tm8SnBi2

A relaxed Tm8SnBi2 crystal (PBE, the Alexandria database).

a = 18.3238 Å, b = 5.1489 Å, c = 6.7773 Å
α = 90.00°, β = 92.18°, γ = 90.00°
Closest atoms and distances in Å follow each position.
Space group C2/m (No. 12)
Inequivalent atoms, fractional coordinates:
Tm 0.0335 0.0000 0.2468 [4 per cell]  2 Sn 3.17, 4 Tm 3.48-3.52
Tm 0.0913 0.5000 0.9351 [4 per cell]  1 Sn 3.33, 9 Tm 3.40-3.66, 2 Bi 3.44
Tm 0.1604 0.5000 0.4077 [4 per cell]  1 Sn 3.03, 3 Bi 3.15-3.25, 2 Tm 3.37
Tm 0.2166 0.0000 0.1297 [4 per cell]  1 Bi 3.19, 6 Tm 3.37-3.56
Sn 0.0000 0.5000 0.5000 [2 per cell]  8 Tm 3.03-3.33
Bi 0.1659 0.0000 0.6745 [4 per cell]  6 Tm 3.15-3.44

Properties
D(E_F): 1.15 states/eV per atom
energy relative to the elements: -3.922 eV per formula unit


# Tm4SnBi3

A relaxed Tm4SnBi3 crystal (PBE, the Alexandria database).

a = 6.2425 Å, b = 6.2425 Å, c = 6.2425 Å
α = 90.00°, β = 90.00°, γ = 90.00°
Closest atoms and distances in Å follow each position.
Space group Pm-3m (No. 221)
Inequivalent atoms, fractional coordinates:
Tm 0.0000 0.0000 0.0000 [1 per cell]  6 Bi 3.12
Tm 0.0000 0.5000 0.5000 [3 per cell]  2 Sn 3.12, 4 Bi 3.12
Sn 0.5000 0.5000 0.5000 [1 per cell]  6 Tm 3.12
Bi 0.0000 0.0000 0.5000 [3 per cell]  6 Tm 3.12

Properties
D(E_F): 0.41 states/eV per atom
energy relative to the elements: -5.579 eV per formula unit